This record from Alexandria via LeMat-Bulk describes a geometry-optimized Ba4Ta2O9 structure. The functional is GGA-PBEsol.

Output
DOS(E_F) (states/eV per atom): 0.000
DFT total energy (eV/cell): -500.1
Polymorph energy (0 for the lowest one) (eV per formula unit): 0.30
Formation energy without anion corrections (eV per atom): -2.938

Cell and atoms, written as CIF:
```
data_Ba4Ta2O9
_cell_length_a 10.199
_cell_length_b 6.016
_cell_length_c 16.218
_cell_angle_alpha 90.00
_cell_angle_beta 90.49
_cell_angle_gamma 90.00
_symmetry_space_group_name_H-M 'C 1 2/c 1'
_symmetry_Int_Tables_number 15
loop_
_symmetry_equiv_pos_as_xyz
'x,y,z'
'-x,-y,-z'
'-x,y,-z+1/2'
'x,-y,z+1/2'
'x+1/2,y+1/2,z'
'-x+1/2,-y+1/2,-z'
'-x+1/2,y+1/2,-z+1/2'
'x+1/2,-y+1/2,z+1/2'
loop_
_atom_site_label
_atom_site_type_symbol
_atom_site_fract_x
_atom_site_fract_y
_atom_site_fract_z
Ba1 Ba 0.000 0.000 0.000
Ba2 Ba 0.000 0.013 0.250
Ba3 Ba 0.165 0.486 0.615
Ta1 Ta 0.168 0.487 0.831
O1 O 0.000 0.475 0.250
O2 O 0.067 0.256 0.880
O3 O 0.116 0.285 0.404
O4 O 0.172 0.080 0.114
O5 O 0.240 0.221 0.744
```